--- i ---
Here is a geometry-optimized BaSr2Ga2 structure from Alexandria. Energies are from PBE.

Calculated values
Its space-group type is C2/m (12). As for the calculated volume: 194.3 Å³ per cell. As for the crystal system: monoclinic.

Unit cell a=4.6032 b=6.6010 c=6.9178 alpha=100.80 beta=109.43 gamma=90.00
Last column: nearest neighbours and their distance in Å.
Fractional coordinates of all 5 atoms:
Sr 0.6556 0.5961 0.3112  4 Ga 3.23-3.59
Sr 0.3444 0.4039 0.6888  4 Ga 3.23-3.59
Ga 0.7276 0.0991 0.4552  2 Ga 2.77
Ga 0.2724 0.9009 0.5448  2 Ga 2.77
Ba 0.0000 0.0000 0.0000  6 Ga 3.71-3.74

=====

--- ii ---
Here is a geometry-optimized BaSr2Ga2 structure from Alexandria. Energies are from PBE.

Calculated values
Its space-group type is P4/mbm (127). As for the calculated volume: 337.9 Å³ per cell. As for the crystal system: tetragonal.

Unit cell a=9.3787 b=9.3787 c=3.8410 alpha=90.00 beta=90.00 gamma=90.00
Last column: nearest neighbours and their distance in Å.
Fractional coordinates of all 10 atoms:
Ga 0.1633 0.6633 0.5000  6 Sr 3.30-3.40
Ga 0.6633 0.8367 0.5000  6 Sr 3.30-3.40
Ga 0.3367 0.1633 0.5000  6 Sr 3.30-3.40
Ga 0.8367 0.3367 0.5000  6 Sr 3.30-3.40
Sr 0.3660 0.8660 0.0000  6 Ga 3.30-3.40, 1 Sr 3.55, 2 Ba 3.66
Sr 0.1340 0.3660 0.0000  6 Ga 3.30-3.40, 1 Sr 3.55, 2 Ba 3.66
Sr 0.8660 0.6340 0.0000  6 Ga 3.30-3.40, 1 Sr 3.55, 2 Ba 3.66
Sr 0.6340 0.1340 0.0000  6 Ga 3.30-3.40, 1 Sr 3.55, 2 Ba 3.66
Ba 0.0000 0.0000 0.0000  4 Sr 3.66, 2 Ba 3.84, 8 Ga 4.00
Ba 0.5000 0.5000 0.0000  4 Sr 3.66, 2 Ba 3.84, 8 Ga 4.00

=====

It is i that is most stable; the runner-up trails by 0.036 eV/atom.

=====

--- i ---
Here is a geometry-optimized BaSr2Ga2 structure from Alexandria. Energies are from PBE.

Calculated values
Its space-group type is I4/mmm (139). As for the calculated volume: 205.3 Å³ per cell. As for the crystal system: tetragonal.

Unit cell a=5.8071 b=5.8071 c=7.3422 alpha=66.71 beta=66.71 gamma=90.00
Last column: nearest neighbours and their distance in Å.
Fractional coordinates of all 5 atoms:
Ga 0.2500 0.7500 0.5000  4 Sr 3.12
Ga 0.7500 0.2500 0.5000  4 Sr 3.12
Sr 0.6558 0.6558 0.6884  4 Ga 3.12
Sr 0.3442 0.3442 0.3116  4 Ga 3.12
Ba 0.0000 0.0000 0.0000  10 Sr 4.19-4.52, 8 Ga 4.21

=====

--- ii ---
Here is a geometry-optimized BaSr2Ga2 structure from Alexandria. Energies are from PBE.

Calculated values
Its space-group type is P4/mbm (127). As for the calculated volume: 363.4 Å³ per cell. As for the crystal system: tetragonal.

Unit cell a=8.5131 b=8.5131 c=5.0144 alpha=90.00 beta=90.00 gamma=90.00
Last column: nearest neighbours and their distance in Å.
Fractional coordinates of all 10 atoms:
Ga 0.8936 0.6064 0.0000  1 Ga 2.56
Ga 0.3936 0.8936 0.0000  1 Ga 2.56
Ga 0.6064 0.1064 0.0000  1 Ga 2.56
Ga 0.1064 0.3936 0.0000  1 Ga 2.56
Sr 0.3314 0.1686 0.5000  6 Ga 3.47-3.69
Sr 0.6686 0.8314 0.5000  6 Ga 3.47-3.69
Sr 0.8314 0.3314 0.5000  6 Ga 3.47-3.69
Sr 0.1686 0.6686 0.5000  6 Ga 3.47-3.69
Ba 0.0000 0.0000 0.0000  4 Ga 3.47
Ba 0.5000 0.5000 0.0000  4 Ga 3.47

=====

It is ii that is most stable; the runner-up trails by 0.224 eV/atom.

=====

--- i ---
Here is a geometry-optimized Ba3SrGa structure from Alexandria. Energies are from PBE.

Calculated values
Its space-group type is Pm-3m (221). As for the calculated volume: 290.1 Å³ per cell. As for the crystal system: cubic.

Unit cell a=6.6196 b=6.6196 c=6.6196 alpha=90.00 beta=90.00 gamma=90.00
Last column: nearest neighbours and their distance in Å.
Fractional coordinates of all 5 atoms:
Ba 0.5000 0.0000 0.0000  2 Ga 3.31
Ba 0.0000 0.5000 0.0000  2 Ga 3.31
Ba 0.0000 0.0000 0.5000  2 Ga 3.31
Ga 0.0000 0.0000 0.0000  6 Ba 3.31
Sr 0.5000 0.5000 0.5000  12 Ba 4.68

=====

--- ii ---
Here is a geometry-optimized Ba3SrGa structure from Alexandria. Energies are from PBE.

Calculated values
Its space-group type is P4_2/mnm (136). As for the calculated volume: 996.9 Å³ per cell. As for the crystal system: tetragonal.

Unit cell a=5.4718 b=13.4977 c=13.4977 alpha=90.00 beta=90.00 gamma=90.00
Last column: nearest neighbours and their distance in Å.
Fractional coordinates of all 20 atoms:
Ga 0.0000 0.4310 0.4310  1 Ga 2.63
Ga 0.5000 0.9310 0.0690  1 Ga 2.63
Ga 0.5000 0.0690 0.9310  1 Ga 2.63
Ga 0.0000 0.5690 0.5690  1 Ga 2.63
Sr 0.5000 0.6887 0.6887  2 Ga 3.57
Sr 0.5000 0.3113 0.3113  2 Ga 3.57
Sr 0.0000 0.1887 0.8113  2 Ga 3.57
Sr 0.0000 0.8113 0.1887  2 Ga 3.57
Ba 0.0000 0.5168 0.8196  1 Ga 3.45
Ba 0.0000 0.4832 0.1804  1 Ga 3.45
Ba 0.0000 0.8918 0.8918  4 Ga 3.67
Ba 0.0000 0.1082 0.1082  4 Ga 3.67
Ba 0.5000 0.0168 0.6804  1 Ga 3.45
Ba 0.5000 0.6082 0.3918  4 Ga 3.67
Ba 0.5000 0.9832 0.3196  1 Ga 3.45
Ba 0.0000 0.1804 0.4832  1 Ga 3.45
Ba 0.5000 0.3196 0.9832  1 Ga 3.45
Ba 0.5000 0.6804 0.0168  1 Ga 3.45
Ba 0.5000 0.3918 0.6082  4 Ga 3.67
Ba 0.0000 0.8196 0.5168  1 Ga 3.45

=====

--- iii ---
Here is a geometry-optimized Ba3SrGa structure from Alexandria. Energies are from PBE.

Calculated values
Its space-group type is Pm-3m (221). As for the calculated volume: 308.1 Å³ per cell. As for the crystal system: cubic.

Unit cell a=6.7542 b=6.7542 c=6.7542 alpha=90.00 beta=90.00 gamma=90.00
Last column: nearest neighbours and their distance in Å.
Fractional coordinates of all 5 atoms:
Ba 0.5000 0.0000 0.0000  2 Sr 3.38
Ba 0.0000 0.0000 0.5000  2 Sr 3.38
Ba 0.0000 0.5000 0.0000  2 Sr 3.38
Ga 0.5000 0.5000 0.5000  12 Ba 4.78
Sr 0.0000 0.0000 0.0000  6 Ba 3.38

=====

It is ii that is most stable; the runner-up trails by 0.104 eV/atom.

=====

--- i ---
Here is a geometry-optimized BaSrV2Ga structure from Alexandria. Energies are from PBE.

Calculated values
Its space-group type is P4/mmm (123). As for the calculated volume: 158.3 Å³ per cell. As for the crystal system: tetragonal.

Unit cell a=5.1212 b=6.0369 c=5.1212 alpha=90.00 beta=90.00 gamma=90.00
Last column: nearest neighbours and their distance in Å.
Fractional coordinates of all 5 atoms:
Ba 0.0000 0.0000 0.0000  4 V 2.56
V 0.5000 0.0000 0.0000  2 Ba 2.56
V 0.0000 0.0000 0.5000  2 Ba 2.56
Sr 0.0000 0.5000 0.0000  2 Ba 3.02
Ga 0.5000 0.5000 0.5000  4 Sr 3.62, 8 V 3.96

=====

--- ii ---
Here is a geometry-optimized BaSrV2Ga structure from Alexandria. Energies are from PBE.

Calculated values
Its space-group type is P4/mmm (123). As for the calculated volume: 160.5 Å³ per cell. As for the crystal system: tetragonal.

Unit cell a=5.2090 b=5.9150 c=5.2090 alpha=90.00 beta=90.00 gamma=90.00
Last column: nearest neighbours and their distance in Å.
Fractional coordinates of all 5 atoms:
Ba 0.0000 0.5000 0.0000  2 Ga 2.96
Ga 0.0000 0.0000 0.0000  4 V 2.60
Sr 0.5000 0.5000 0.5000  4 Ba 3.68, 8 V 3.94
V 0.0000 0.0000 0.5000  2 Ga 2.60
V 0.5000 0.0000 0.0000  2 Ga 2.60

=====

It is ii that is most stable; the runner-up trails by 1.028 eV/atom.